Entry 1:
A plane-wave DFT calculation with PBE was carried out for crystalline ErLuHf at its relaxed geometry.

The crystal system is trigonal. The value obtained for the calculated formation energy is 0.11 eV/atom. As for the total magnetization: 0.0 Bohr magnetons per cell. The density of states at the Fermi level is 3.72 states/eV/cell.

```
ErLuHf
1.0
-1.742 2.801 0.576
-0.048 -2.491 2.236
6.584 3.309 3.827
Lu Er Hf
1 1 1
Cartesian
3.656 1.418 4.164
0.117 0.059 0.068
1.021 2.142 2.408
```

=====

Entry 2:
A plane-wave DFT calculation with PBE was carried out for crystalline ErLu2Hf at its relaxed geometry.

The crystal system is tetragonal. The value obtained for the calculated formation energy is 0.21 eV/atom. As for the total magnetization: 0.0 Bohr magnetons per cell. The density of states at the Fermi level is 8.10 states/eV/cell.

```
ErLu2Hf
1.0
3.900 0.000 0.000
0.000 3.900 0.000
0.000 0.000 7.304
Hf Lu Er
1 2 1
Cartesian
1.950 1.950 0.000
0.000 0.000 1.628
0.000 0.000 5.676
1.950 1.950 3.652
```

=====

Entry 3:
A plane-wave DFT calculation with PBE was carried out for crystalline ErLuHf at its relaxed geometry.

The crystal system is tetragonal. The value obtained for the calculated formation energy is 0.10 eV/atom. As for the total magnetization: 0.0 Bohr magnetons per cell. The density of states at the Fermi level is 4.05 states/eV/cell.

```
ErLuHf
1.0
3.341 0.000 0.000
0.000 3.341 0.000
-1.670 -1.670 7.260
Hf Lu Er
1 1 1
Cartesian
1.670 1.670 2.406
0.000 0.000 0.169
0.000 0.000 4.685
```

=====

Entry 4:
A plane-wave DFT calculation with PBE was carried out for crystalline NdErLuHf at its relaxed geometry.

The crystal system is cubic. The value obtained for the calculated formation energy is 0.28 eV/atom. As for the total magnetization: 0.4 Bohr magnetons per cell. The density of states at the Fermi level is 8.37 states/eV/cell.

```
NdErLuHf
1.0
5.457 0.000 0.000
2.729 4.726 0.000
2.729 1.575 4.456
Nd Lu Hf Er
1 1 1 1
Cartesian
8.186 4.726 3.342
5.457 3.151 2.228
2.729 1.575 1.114
0.000 0.000 0.000
```